Entry 1
Computed, not measured: crystalline Ba2LiTlPt at its relaxed geometry at the GGA-PBE level of DFT.

a = 6.178 Å, b = 6.178 Å, c = 4.858 Å
α = 90.00°, β = 90.00°, γ = 90.00°
Space group P4/mmm (No. 123)
One atom of each set of equivalent atoms:
Ba 0.000 0.500 0.000 [2 per cell]
Li 0.000 0.000 0.500 [1 per cell]
Tl 0.500 0.500 0.500 [1 per cell]
Pt 0.000 0.000 0.000 [1 per cell]

---

Entry 2
Computed, not measured: crystalline Ba2LiTlPt at its relaxed geometry at the GGA-PBE level of DFT.

a = 6.194 Å, b = 6.194 Å, c = 5.339 Å
α = 90.00°, β = 90.00°, γ = 90.00°
Space group P4/mmm (No. 123)
One atom of each set of equivalent atoms:
Ba 0.000 0.500 0.000 [2 per cell]
Li 0.000 0.000 0.500 [1 per cell]
Tl 0.500 0.500 0.500 [1 per cell]
Pt 0.500 0.500 0.000 [1 per cell]

---

Most stable to least stable, the ends of the list are entry 1 and entry 2.

---

Entry 1
Computed, not measured: crystalline RbBa2Li2 at its relaxed geometry at the GGA-PBE level of DFT.

a = 10.979 Å, b = 10.979 Å, c = 4.178 Å
α = 90.00°, β = 90.00°, γ = 90.00°
Space group P4/mbm (No. 127)
One atom of each set of equivalent atoms:
Rb 0.000 0.000 0.000 [2 per cell]
Ba 0.133 0.367 0.000 [4 per cell]
Li 0.157 0.657 0.500 [4 per cell]

---

Entry 2
Computed, not measured: crystalline RbBa2Li2 at its relaxed geometry at the GGA-PBE level of DFT.

a = 10.191 Å, b = 10.191 Å, c = 4.881 Å
α = 90.00°, β = 90.00°, γ = 90.00°
Space group P4/mbm (No. 127)
One atom of each set of equivalent atoms:
Rb 0.000 0.000 0.000 [2 per cell]
Ba 0.163 0.337 0.500 [4 per cell]
Li 0.118 0.618 0.000 [4 per cell]

---

Entry 3
Computed, not measured: crystalline RbBa2Li2 at its relaxed geometry at the GGA-PBE level of DFT.

a = 4.260 Å, b = 4.260 Å, c = 27.964 Å
α = 90.00°, β = 90.00°, γ = 90.00°
Space group I4/mmm (No. 139)
One atom of each set of equivalent atoms:
Rb 0.000 0.000 0.000 [2 per cell]
Ba 0.000 0.000 0.360 [4 per cell]
Li 0.000 0.500 0.250 [4 per cell]

---

Most stable to least stable, the ends of the list are entry 2 and entry 1.

---

Entry 1
Computed, not measured: crystalline RbBaLi3 at its relaxed geometry at the GGA-PBE level of DFT.

a = 6.690 Å, b = 6.690 Å, c = 6.690 Å
α = 90.00°, β = 90.00°, γ = 90.00°
Space group Pm-3m (No. 221)
One atom of each set of equivalent atoms:
Rb 0.000 0.000 0.000 [1 per cell]
Ba 0.500 0.500 0.500 [1 per cell]
Li 0.000 0.500 0.500 [3 per cell]

---

Entry 2
Computed, not measured: crystalline RbBaLi3 at its relaxed geometry at the GGA-PBE level of DFT.

a = 6.160 Å, b = 6.160 Å, c = 6.160 Å
α = 90.00°, β = 90.00°, γ = 90.00°
Space group Pm-3m (No. 221)
One atom of each set of equivalent atoms:
Rb 0.000 0.000 0.000 [1 per cell]
Ba 0.500 0.500 0.500 [1 per cell]
Li 0.000 0.000 0.500 [3 per cell]

---

Most stable to least stable, the ends of the list are entry 2 and entry 1.

---

Entry 1
Computed, not measured: crystalline BaLi2Re at its relaxed geometry at the GGA-PBE level of DFT.

a = 3.453 Å, b = 3.453 Å, c = 6.990 Å
α = 90.00°, β = 90.00°, γ = 90.00°
Space group P4/mmm (No. 123)
One atom of each set of equivalent atoms:
Ba 0.000 0.000 0.000 [1 per cell]
Li 0.500 0.500 0.329 [2 per cell]
Re 0.000 0.000 0.500 [1 per cell]

---

Entry 2
Computed, not measured: crystalline BaLi2Re at its relaxed geometry at the GGA-PBE level of DFT.

a = 4.465 Å, b = 4.465 Å, c = 8.751 Å
α = 90.00°, β = 90.00°, γ = 90.00°
Space group I-4m2 (No. 119)
One atom of each set of equivalent atoms:
Ba 0.000 0.000 0.000 [2 per cell]
Li 0.000 0.000 0.500 [2 per cell]
Li 0.000 0.500 0.750 [2 per cell]
Re 0.000 0.500 0.250 [2 per cell]

---

Most stable to least stable, the ends of the list are entry 1 and entry 2.

---

Entry 1
Computed, not measured: crystalline Ba2LiRe at its relaxed geometry at the GGA-PBE level of DFT.

a = 4.996 Å, b = 4.996 Å, c = 20.191 Å
α = 90.00°, β = 90.00°, γ = 90.00°
Space group I-42d (No. 122)
One atom of each set of equivalent atoms:
Ba 0.242 0.250 0.125 [8 per cell]
Li 0.000 0.000 0.500 [4 per cell]
Re 0.000 0.000 0.000 [4 per cell]

---

Entry 2
Computed, not measured: crystalline Ba2LiRe at its relaxed geometry at the GGA-PBE level of DFT.

a = 8.833 Å, b = 3.295 Å, c = 9.484 Å
α = 90.00°, β = 93.24°, γ = 90.00°
Space group C2/m (No. 12)
One atom of each set of equivalent atoms:
Ba 0.236 0.000 0.204 [4 per cell]
Li 0.000 0.000 0.500 [2 per cell]
Re 0.000 0.500 0.000 [2 per cell]

---

Entry 3
Computed, not measured: crystalline Ba2LiRe at its relaxed geometry at the GGA-PBE level of DFT.

a = 4.818 Å, b = 4.818 Å, c = 10.156 Å
α = 90.00°, β = 90.00°, γ = 90.00°
Space group I-4m2 (No. 119)
One atom of each set of equivalent atoms:
Ba 0.000 0.000 0.000 [2 per cell]
Ba 0.000 0.500 0.250 [2 per cell]
Li 0.000 0.500 0.750 [2 per cell]
Re 0.000 0.000 0.500 [2 per cell]

---

Entry 4
Computed, not measured: crystalline Ba2LiRe at its relaxed geometry at the GGA-PBE level of DFT.

a = 12.258 Å, b = 3.589 Å, c = 5.850 Å
α = 90.00°, β = 106.89°, γ = 90.00°
Space group Cm (No. 8)
One atom of each set of equivalent atoms:
Ba 0.000 0.000 0.000 [2 per cell]
Ba 0.203 0.000 0.634 [2 per cell]
Li 0.402 0.000 0.389 [2 per cell]
Re 0.239 0.500 0.146 [2 per cell]

---

Most stable to least stable, the ends of the list are entry 4 and entry 1.

---

Entry 1
Computed, not measured: crystalline Ba2LiRe at its relaxed geometry at the GGA-PBE level of DFT.

a = 3.364 Å, b = 3.960 Å, c = 9.018 Å
α = 90.00°, β = 90.00°, γ = 90.00°
Space group Pmm2 (No. 25)
One atom of each set of equivalent atoms:
Ba 0.000 0.000 0.000 [1 per cell]
Ba 0.500 0.500 0.429 [1 per cell]
Li 0.000 0.000 0.667 [1 per cell]
Re 0.500 0.500 0.760 [1 per cell]

---

Entry 2
Computed, not measured: crystalline Ba2LiRe at its relaxed geometry at the GGA-PBE level of DFT.

a = 3.585 Å, b = 5.654 Å, c = 12.929 Å
α = 90.00°, β = 90.00°, γ = 90.00°
Space group Imm2 (No. 44)
One atom of each set of equivalent atoms:
Ba 0.000 0.000 0.000 [2 per cell]
Ba 0.000 0.500 0.201 [2 per cell]
Li 0.000 0.500 0.833 [2 per cell]
Re 0.000 0.000 0.495 [2 per cell]

---

Entry 3
Computed, not measured: crystalline Ba2LiRe at its relaxed geometry at the GGA-PBE level of DFT.

a = 3.7246 Å, b = 3.7246 Å, c = 33.2907 Å
α = 90.00°, β = 90.00°, γ = 120.00°
Space group R-3m (No. 166, hexagonal axes)
One atom of each set of equivalent atoms:
Ba 0.0000 0.0000 0.2346 [6 per cell]
Li 0.0000 0.0000 0.0000 [3 per cell]
Re 0.0000 0.0000 0.5000 [3 per cell]

---

Entry 4
Computed, not measured: crystalline Ba2LiRe at its relaxed geometry at the GGA-PBE level of DFT.

a = 4.768 Å, b = 4.554 Å, c = 12.229 Å
α = 90.00°, β = 90.00°, γ = 90.00°
Space group Amm2 (No. 38)
One atom of each set of equivalent atoms:
Ba 0.000 0.000 0.000 [2 per cell]
Ba 0.500 0.000 0.278 [2 per cell]
Li 0.500 0.000 0.587 [2 per cell]
Re 0.000 0.000 0.688 [2 per cell]

---

Most stable to least stable, the ends of the list are entry 4 and entry 3.

---

Entry 1
Computed, not measured: crystalline BaLiRh2 at its relaxed geometry at the GGA-PBE level of DFT.

a = 4.4412 Å, b = 4.4412 Å, c = 16.7816 Å
α = 90.00°, β = 90.00°, γ = 120.00°
Space group R-3m (No. 166, hexagonal axes)
One atom of each set of equivalent atoms:
Ba 0.0000 0.0000 0.0000 [3 per cell]
Li 0.0000 0.0000 0.5000 [3 per cell]
Rh 0.0000 0.0000 0.1815 [6 per cell]

---

Entry 2
Computed, not measured: crystalline BaLiRh2 at its relaxed geometry at the GGA-PBE level of DFT.

a = 8.812 Å, b = 3.165 Å, c = 5.940 Å
α = 90.00°, β = 99.56°, γ = 90.00°
Space group C2/m (No. 12)
One atom of each set of equivalent atoms:
Ba 0.000 0.000 0.000 [2 per cell]
Li 0.000 0.500 0.500 [2 per cell]
Rh 0.234 0.000 0.668 [4 per cell]

---

Most stable to least stable, the ends of the list are entry 1 and entry 2.

---

Entry 1
Computed, not measured: crystalline BaLiRh2 at its relaxed geometry at the GGA-PBE level of DFT.

a = 3.497 Å, b = 3.497 Å, c = 7.353 Å
α = 90.00°, β = 90.00°, γ = 90.00°
Space group P4mm (No. 99)
One atom of each set of equivalent atoms:
Ba 0.000 0.000 0.000 [1 per cell]
Li 0.500 0.500 0.375 [1 per cell]
Rh 0.000 0.000 0.581 [1 per cell]
Rh 0.500 0.500 0.703 [1 per cell]

---

Entry 2
Computed, not measured: crystalline BaLiRh2 at its relaxed geometry at the GGA-PBE level of DFT.

a = 4.384 Å, b = 4.569 Å, c = 10.141 Å
α = 90.00°, β = 90.00°, γ = 90.00°
Space group Imm2 (No. 44)
One atom of each set of equivalent atoms:
Ba 0.000 0.000 0.000 [2 per cell]
Li 0.000 0.500 0.750 [2 per cell]
Rh 0.000 0.000 0.636 [2 per cell]
Rh 0.000 0.500 0.232 [2 per cell]

---

Entry 3
Computed, not measured: crystalline BaLiRh2 at its relaxed geometry at the GGA-PBE level of DFT.

a = 7.661 Å, b = 4.422 Å, c = 6.054 Å
α = 90.00°, β = 114.82°, γ = 90.00°
Space group Cm (No. 8)
One atom of each set of equivalent atoms:
Ba 0.000 0.000 0.000 [2 per cell]
Li 0.312 0.500 0.435 [2 per cell]
Rh 0.023 0.500 0.568 [2 per cell]
Rh 0.194 0.000 0.583 [2 per cell]

---

Most stable to least stable, the ends of the list are entry 3 and entry 1.